## a
Below is a relaxed ReRuPb2 crystal, with properties calculated at the GGA-PBE level.

Structure (POSCAR):
```
ReRuPb2
1.0
5.353 0.000 0.000
2.084 4.931 0.000
-3.718 -2.465 2.958
Pb Ru Re
2 1 1
Direct
0.000 0.000 0.000
0.250 0.750 0.500
0.750 0.250 0.500
0.500 0.500 0.000
```

Properties
- Crystal system: tetragonal
- Calculated density: 14.926 g/cm³
- V: 78 Å³ per cell
- M_tot: 0.0 μB per formula unit

## b
Below is a relaxed ReRuPb2 crystal, with properties calculated at the GGA-PBE level.

Structure (POSCAR):
```
ReRuPb2
1.0
-5.086 0.830 1.811
-3.515 -1.955 -3.696
3.983 -1.302 3.504
Pb Re Ru
2 1 1
Direct
0.005 0.005 0.000
0.495 0.495 0.000
0.750 0.250 0.500
0.250 0.750 0.500
```

Properties
- Crystal system: orthorhombic
- Calculated density: 14.619 g/cm³
- V: 80 Å³ per cell
- M_tot: 0.0 μB per formula unit

## c
Below is a relaxed ReRuPb2 crystal, with properties calculated at the GGA-PBE level.

Structure (POSCAR):
```
ReRuPb2
1.0
8.890 -0.005 -0.003
8.310 3.158 -0.003
8.310 1.523 2.766
Re Ru Pb
1 1 2
Direct
0.250 0.250 0.250
0.750 0.750 0.750
0.002 0.002 0.002
0.498 0.498 0.498
```

Properties
- Crystal system: trigonal
- Calculated density: 14.966 g/cm³
- V: 78 Å³ per cell
- M_tot: 0.5 μB per formula unit

## d
Below is a relaxed ReRuPb2 crystal, with properties calculated at the GGA-PBE level.

Structure (POSCAR):
```
ReRuPb2
1.0
7.586 0.000 0.000
0.000 7.586 0.000
3.793 3.793 3.031
Re Pb Ru
2 4 2
Direct
0.750 0.250 0.500
0.000 0.000 0.000
0.135 0.625 0.250
0.375 0.385 0.750
0.615 0.125 0.250
0.875 0.865 0.750
0.250 0.750 0.500
0.500 0.500 0.000
```

Properties
- Crystal system: tetragonal
- Calculated density: 13.362 g/cm³
- V: 174 Å³ per cell
- M_tot: 2.9 μB per formula unit

Stability summary - winner: c; margin: 0.097 eV/atom.

## a
Below is a relaxed ReRuPb crystal, with properties calculated at the GGA-PBE level.

Structure (POSCAR):
```
ReRuPb
1.0
-3.259 -2.655 1.190
-0.303 -1.369 4.138
-3.207 1.491 2.565
Re Pb Ru
1 1 1
Direct
0.500 0.500 0.500
0.000 0.000 0.000
0.750 0.750 0.750
```

Properties
- Crystal system: cubic
- Calculated density: 13.922 g/cm³
- V: 59 Å³ per cell
- M_tot: 0.0 μB per formula unit

## b
Below is a relaxed ReRuPb crystal, with properties calculated at the GGA-PBE level.

Structure (POSCAR):
```
ReRuPb
1.0
2.964 0.000 0.000
-1.482 2.567 0.000
0.000 0.000 7.094
Ru Pb Re
1 1 1
Direct
0.333 0.667 0.639
0.000 0.000 0.997
0.667 0.333 0.364
```

Properties
- Crystal system: trigonal
- Calculated density: 15.209 g/cm³
- V: 54 Å³ per cell
- M_tot: 0.0 μB per formula unit

## c
Below is a relaxed ReRuPb crystal, with properties calculated at the GGA-PBE level.

Structure (POSCAR):
```
ReRuPb
1.0
-4.569 4.477 -0.875
-5.569 2.914 1.473
0.839 2.215 1.830
Ru Pb Re
1 1 1
Direct
0.311 0.311 0.689
0.000 0.000 0.000
0.689 0.689 0.311
```

Properties
- Crystal system: tetragonal
- Calculated density: 15.032 g/cm³
- V: 55 Å³ per cell
- M_tot: 0.0 μB per formula unit

Stability summary - winner: c; margin: 0.118 eV/atom.